No. 1
# LaHf2Ag GGA-PBE optimized geometry
# ΔH_f (0 K)	45	kJ/mol of atoms
# total moment	0.000	μB/atom
# energy	-103.3	eV per cell
# energy above the most stable polymorph in this dataset	112	meV/atom
data_LaHf2Ag
_chemical_formula_sum 'La4 Hf8 Ag4'
_space_group_name_H-M_alt 'I -4 2 d'
_space_group_IT_number 122
_space_group_name_Hall 'I -4 2bw'
_cell_length_a 8.224
_cell_length_b 8.224
_cell_length_c 6.100
_cell_angle_alpha 90.00
_cell_angle_beta 90.00
_cell_angle_gamma 90.00
loop_
_atom_site_label
_atom_site_fract_x
_atom_site_fract_y
_atom_site_fract_z
La1 0.000 0.000 0.000
Hf1 0.208 0.250 0.625
Ag1 0.000 0.000 0.500

=====

No. 2
# KNaSr2As GGA-PBE optimized geometry
# ΔH_f (0 K)	-36	kJ/mol of atoms
# total moment	0.024	μB/atom
# energy	-12.3	eV per cell
# energy above the most stable polymorph in this dataset	31	meV/atom
data_KNaSr2As
_chemical_formula_sum 'K1 Na1 Sr2 As1'
_space_group_name_H-M_alt 'P 4/m m m'
_space_group_IT_number 123
_space_group_name_Hall '-P 4 2'
_cell_length_a 6.149
_cell_length_b 6.149
_cell_length_c 6.085
_cell_angle_alpha 90.00
_cell_angle_beta 90.00
_cell_angle_gamma 90.00
loop_
_atom_site_label
_atom_site_fract_x
_atom_site_fract_y
_atom_site_fract_z
K1 0.000 0.000 0.000
Na1 0.500 0.500 0.000
Sr1 0.000 0.500 0.500
As1 0.500 0.500 0.500

=====

No. 3
# Tl2CrTc GGA-PBE optimized geometry
# ΔH_f (0 K)	63	kJ/mol of atoms
# total moment	0.333	μB/atom
# energy	-44.2	eV per cell
# energy above the most stable polymorph in this dataset	240	meV/atom
data_Tl2CrTc
_chemical_formula_sum 'Tl4 Cr2 Tc2'
_space_group_name_H-M_alt 'I m m 2'
_space_group_IT_number 44
_space_group_name_Hall 'I 2 -2'
_cell_length_a 3.115
_cell_length_b 4.811
_cell_length_c 11.026
_cell_angle_alpha 90.00
_cell_angle_beta 90.00
_cell_angle_gamma 90.00
loop_
_atom_site_label
_atom_site_fract_x
_atom_site_fract_y
_atom_site_fract_z
Tl1 0.000 0.000 0.000
Tl2 0.000 0.500 0.214
Cr1 0.000 0.500 0.787
Tc1 0.000 0.000 0.443

=====

No. 4
# Pm4B2Br5 GGA-PBE optimized geometry
# total moment	0.000	μB/atom
# energy	-109.3	eV per cell
# formation energy without anion corrections	-1265	meV per atom
# energy above the most stable polymorph in this dataset	0	meV/atom
data_Pm4B2Br5
_chemical_formula_sum 'Pm8 B4 Br10'
_space_group_name_H-M_alt 'C 1 2/m 1'
_space_group_IT_number 12
_space_group_name_Hall '-C 2y'
_cell_length_a 20.435
_cell_length_b 3.985
_cell_length_c 8.267
_cell_angle_alpha 90.00
_cell_angle_beta 103.74
_cell_angle_gamma 90.00
loop_
_atom_site_label
_atom_site_fract_x
_atom_site_fract_y
_atom_site_fract_z
Pm1 0.001 0.000 0.205
Pm2 0.160 0.500 0.104
B1 0.040 0.500 0.023
Br1 0.000 0.500 0.500
Br2 0.161 0.000 0.363
Br3 0.171 0.000 0.844